Record 1
Compound: PuHfTi2
Source: Alexandria via LeMat-Bulk
Functional: GGA-PBE
Structure: relaxed

abc: 4.9461 4.9461 3.2457
angles: 90.00 90.00 90.00
With the nearest neighbours (Å) after each atom.
Fractional coordinates of all 4 atoms:
Pu1 0.0000 0.0000 0.0000  8 Ti 2.96, 2 Pu 3.25
Hf1 0.5000 0.5000 0.0000  8 Ti 2.96, 2 Hf 3.25
Ti1 0.0000 0.5000 0.5000  4 Hf 2.96, 4 Pu 2.96, 2 Ti 3.25
Ti2 0.5000 0.0000 0.5000  4 Hf 2.96, 4 Pu 2.96, 2 Ti 3.25

Energy relative to the elements ... 0.14 eV/atom
Fermi-level density of states ... 1.87 states/eV per atom
E above lowest polymorph ... 11 kJ/mol of formula units

***

Record 2
Compound: Pu2HfTi
Source: Alexandria via LeMat-Bulk
Functional: GGA-PBE
Structure: relaxed

abc: 3.6454 3.6454 6.6460
angles: 90.00 90.00 90.00
With the nearest neighbours (Å) after each atom.
Fractional coordinates of all 4 atoms:
Pu1 0.0000 0.0000 0.2346  4 Ti 3.01, 1 Pu 3.12, 4 Hf 3.12
Pu2 0.0000 0.0000 0.7654  4 Ti 3.01, 1 Pu 3.12, 4 Hf 3.12
Hf1 0.5000 0.5000 0.5000  8 Pu 3.12, 2 Ti 3.32
Ti1 0.5000 0.5000 0.0000  8 Pu 3.01, 2 Hf 3.32

Energy relative to the elements ... 0.28 eV/atom
Fermi-level density of states ... 2.61 states/eV per atom
E above lowest polymorph ... 23 kJ/mol of formula units